No. 1
Density functional theory data (PBE-GGA) for a relaxed ScP2W crystal.

Computed properties:
The density of states at the Fermi level is 3.69 states/eV per cell. The value obtained for the calculated total energy is -8.263 eV/atom. The value obtained for the theoretical density is 7.34 g/cm3. The formation energy comes out at -284 kJ/mol of formula units. The space group is Imm2. For the magnetic moment, the calculation gives 0.00 Bohr magnetons per cell.

Lattice parameters (Å, degrees): 6.447 6.447 6.447 150.61 149.92 42.56
Fractional coordinates of all 4 atoms:
W: 0.203 0.703 0.500
P: 0.786 0.286 0.500
Sc: 0.457 0.457 0.000
P: 0.054 0.054 0.000

***

No. 2
Density functional theory data (PBE-GGA) for a relaxed Sc3PW crystal.

Computed properties:
The density of states at the Fermi level is 6.10 states/eV per cell. The value obtained for the calculated total energy is -7.255 eV/atom. The value obtained for the theoretical density is 5.21 g/cm3. The formation energy comes out at 104 kJ/mol of formula units. The space group is Pm-3m. For the magnetic moment, the calculation gives 1.50 Bohr magnetons per cell.

Lattice parameters (Å, degrees): 4.811 4.811 4.811 90.00 90.00 90.00
Fractional coordinates of all 5 atoms:
Sc: 0.000 0.500 0.000
Sc: 0.000 0.000 0.500
P: 0.000 0.000 0.000
W: 0.500 0.500 0.500
Sc: 0.500 0.000 0.000

***

No. 3
Density functional theory data (PBE-GGA) for a relaxed ScP2W crystal.

Computed properties:
The density of states at the Fermi level is 2.87 states/eV per cell. The value obtained for the calculated total energy is -7.546 eV/atom. The value obtained for the theoretical density is 7.32 g/cm3. The formation energy comes out at -8 kJ/mol of formula units. The space group is R3m. For the magnetic moment, the calculation gives 0.00 Bohr magnetons per cell.

Lattice parameters (Å, degrees): 8.101 8.101 8.101 22.09 22.09 22.09
Fractional coordinates of all 4 atoms:
P: 0.258 0.258 0.258
P: 0.001 0.001 0.001
Sc: 0.503 0.503 0.503
W: 0.738 0.738 0.738

***

Among the records above, which one has the lowest theoretical density? Sc3PW

***

theoretical density of number 3 (ScP2W)? 7.32 g/cm3